{
  "formula": "BaTb2Co",
  "functional": "PBE",
  "state": "relaxed",
  "dos_at_fermi_per_ev_cell": 3.7,
  "magnetic_moment_mub_per_cell": 0.00,
  "ef_mev_per_atom": 83.8,
  "vol_a3_per_cell": 138.0,
  "lattice_angstrom": [[-1.5339, 3.3795, 1.1669], [-2.5753, 0.0638, 2.9154], [6.4814, 2.3254, 8.2703]],
  "species": ["Tb", "Co", "Ba", "Tb"],
  "frac_coords": [[0.1212, 0.1212, 0.6363], [0.5000, 0.5000, 0.5000], [0.0000, 0.0000, 0.0000], [0.8788, 0.8788, 0.3637]]
}

***

{
  "formula": "Hf2OsS",
  "functional": "PBE",
  "state": "relaxed",
  "e_form_raw_kcal_per_mol_atoms": -0.9,
  "dos_at_fermi_per_ev_cell": 6.5,
  "magnetic_moment_mub_per_cell": 0.00,
  "vol_a3_per_cell": 201.8,
  "lattice_angstrom": [[5.7633, 0.0000, 0.0000], [0.0000, 5.7633, 0.0000], [2.8816, 2.8816, 6.0749]],
  "species": ["Os", "Hf", "Hf", "S", "S", "Hf", "Hf", "Os"],
  "frac_coords": [[0.7500, 0.2500, 0.5000], [0.3750, 0.3722, 0.7500], [0.6278, 0.1250, 0.2500], [0.2500, 0.7500, 0.5000], [0.5000, 0.5000, 0.0000], [0.8750, 0.8778, 0.7500], [0.1222, 0.6250, 0.2500], [0.0000, 0.0000, 0.0000]]
}

***

{
  "formula": "BaLa2W",
  "functional": "PBE",
  "state": "relaxed",
  "relative_energy_ev_per_atom": 0.425,
  "dos_at_fermi_per_ev_cell": 13.0,
  "magnetic_moment_mub_per_cell": 0.00,
  "ef_mev_per_atom": 909.9,
  "vol_a3_per_cell": 424.6,
  "lattice_angstrom": [[8.4336, 0.0000, 0.0000], [0.0000, 8.4336, 0.0000], [4.2168, 4.2168, 5.9693]],
  "species": ["Ba", "La", "La", "Ba", "W", "W", "La", "La"],
  "frac_coords": [[0.5000, 0.5000, 0.0000], [0.3750, 0.1297, 0.7500], [0.8750, 0.1203, 0.7500], [0.2500, 0.7500, 0.5000], [0.0000, 0.0000, 0.0000], [0.7500, 0.2500, 0.5000], [0.8797, 0.6250, 0.2500], [0.8703, 0.1250, 0.2500]]
}

***

{
  "formula": "Pr2Nd3Ho6Sc",
  "functional": "PBE",
  "state": "relaxed",
  "dos_at_fermi_per_ev_cell": 14.8,
  "magnetic_moment_mub_per_cell": 0.00,
  "ef_mev_per_atom": 25.4,
  "vol_a3_per_cell": 386.3,
  "lattice_angstrom": [[6.1917, -0.0005, 0.0044], [-3.0948, 5.3628, 0.0044], [-1.0379, -1.7971, 11.6311]],
  "species": ["Ho", "Ho", "Nd", "Nd", "Ho", "Ho", "Pr", "Ho", "Sc", "Ho", "Pr", "Nd"],
  "frac_coords": [[0.9180, 0.5879, 0.7525], [0.0820, 0.4121, 0.2475], [0.8332, 0.1668, 0.5000], [0.5000, 0.5000, 0.5000], [0.7519, 0.7519, 0.2480], [0.2481, 0.2481, 0.7520], [0.3338, 0.6662, 0.0000], [0.4121, 0.0820, 0.2475], [0.0000, 0.0000, 0.0000], [0.5879, 0.9180, 0.7525], [0.6662, 0.3338, 0.0000], [0.1668, 0.8332, 0.5000]]
}